KCr2MoO8 (PBE with a Hubbard U, optimized geometry); total energy = -0.4938 Ry per atom; size of the total moment = 0.250 μB/atom; space group = No. 12
1.0
4.445 -2.846 0.000
4.445 2.846 0.000
-0.555 0.000 7.854
K Cr Mo O
1 2 1 8
direct
0.000 0.000 0.000
0.370 0.370 0.712
0.630 0.630 0.288
0.000 0.000 0.500
0.218 0.218 0.558
0.223 0.732 0.678
0.268 0.777 0.322
0.305 0.305 0.900
0.695 0.695 0.100
0.732 0.223 0.678
0.777 0.268 0.322
0.782 0.782 0.442